1.
A geometry-optimized ZrSc5Sb3 structure. Source: Alexandria, functional PBE-GGA.

Computed properties:
E_form (uncorrected) ... -665 meV/atom
Spin magnetization ... 0.51 μB per formula unit
Symmetry ... Cmcm, No. 63

abc: 5.9519 12.0479 8.4786
angles: 135.27 90.00 90.00
Last column: magnetic moment on the atom in μB.
Positions (direct):
Sb1 0.2500 0.6879 0.6871  0.00
Sb2 0.7500 0.5962 0.0000  -0.01
Sb3 0.7500 0.3121 0.3129  0.00
Sb4 0.2500 0.4038 0.0000  -0.01
Sb5 0.7500 0.9992 0.6871  0.00
Sb6 0.2500 0.0008 0.3129  0.00
Zr1 0.0000 0.0000 0.0000  0.00
Zr2 0.5000 0.0000 0.0000  0.00
Sc1 0.7500 0.3379 0.0000  0.05
Sc2 0.7500 0.6472 0.7038  0.01
Sc3 0.2500 0.0566 0.7038  0.01
Sc4 0.2500 0.6621 0.0000  0.05
Sc5 0.0000 0.2988 0.5976  0.13
Sc6 0.5000 0.2988 0.5976  0.13
Sc7 0.2500 0.3528 0.2962  0.01
Sc8 0.0000 0.7012 0.4024  0.13
Sc9 0.7500 0.9434 0.2962  0.01
Sc10 0.5000 0.7012 0.4024  0.13



2.
A geometry-optimized Zr3Sc2Sb2 structure. Source: Alexandria, functional PBE-GGA.

Computed properties:
E_form (uncorrected) ... -504 meV/atom
Spin magnetization ... 0.19 μB per formula unit
Symmetry ... C2/m, No. 12

abc: 4.0625 5.8970 7.5868
angles: 104.49 90.00 110.15
Last column: magnetic moment on the atom in μB.
Positions (direct):
Zr1 0.5000 0.0000 0.0000  0.06
Zr2 0.3737 0.7473 0.5478  0.01
Zr3 0.6263 0.2527 0.4522  0.01
Sb1 0.8256 0.6511 0.8056  0.00
Sb2 0.1744 0.3489 0.1944  0.00
Sc1 0.1225 0.2449 0.7758  0.03
Sc2 0.8775 0.7551 0.2242  0.03



3.
A geometry-optimized ZrSc2Sb3 structure. Source: Alexandria, functional PBE-GGA.

Computed properties:
E_form (uncorrected) ... -820 meV/atom
Spin magnetization ... 0.00 μB per formula unit
Symmetry ... I4/mmm, No. 139

abc: 4.1492 4.1492 9.2851
angles: 102.92 102.92 89.97
Positions (direct):
Sb1 0.6013 0.6026 0.2080
Sb2 0.2673 0.2686 0.5400
Sb3 0.9341 0.9359 0.8740
Sc1 0.7676 0.7689 0.5407
Sc2 0.1009 0.1022 0.2072
Zr1 0.4341 0.4359 0.8740



4.
A geometry-optimized ZrSc4Sb5 structure. Source: Alexandria, functional PBE-GGA.

Computed properties:
E_form (uncorrected) ... -874 meV/atom
Spin magnetization ... 0.00 μB per formula unit
Symmetry ... Immm, No. 71

abc: 4.1445 5.8714 11.0214
angles: 105.45 100.84 90.00
Positions (direct):
Sc1 0.4000 0.4000 0.7999
Sc2 0.8002 0.8002 0.6003
Sc3 0.6000 0.6000 0.2001
Sc4 0.1998 0.1998 0.3997
Zr1 0.0000 0.0000 0.0000
Sb1 0.3994 0.8994 0.7989
Sb2 0.1998 0.6998 0.3995
Sb3 0.8002 0.3002 0.6005
Sb4 0.6006 0.1006 0.2011
Sb5 0.0000 0.5000 0.0000



5.
A geometry-optimized Sb2Se structure. Source: Alexandria, functional PBE-GGA.

Computed properties:
E_form (uncorrected) ... -63 meV/atom
Spin magnetization ... 0.00 μB per formula unit
Symmetry ... P2/m, No. 10

abc: 5.2877 4.2902 7.4606
angles: 90.00 91.84 90.00
Positions (direct):
Se1 0.2055 0.0000 0.8221
Se2 0.7945 0.0000 0.1779
Sb1 0.5000 0.0000 0.5000
Sb2 0.1470 0.5000 0.3284
Sb3 0.8530 0.5000 0.6716
Sb4 0.5000 0.5000 0.0000



6.
A geometry-optimized Sb2Se structure. Source: Alexandria, functional PBE-GGA.

Computed properties:
E_form (uncorrected) ... -44 meV/atom
Spin magnetization ... 0.00 μB per formula unit
Symmetry ... P1, No. 1

abc: 4.7869 6.1641 7.8386
angles: 89.26 88.07 89.09
Positions (direct):
Se1 0.3464 0.8800 0.1815
Se2 0.9367 0.1405 0.8164
Sb1 0.6699 0.0127 0.5515
Sb2 0.0275 0.6622 0.4077
Sb3 0.0268 0.7525 0.9374
Sb4 0.4333 0.6044 0.6736



| no. | total energy (Ry per atom) |
| --- | --- |
| 1 | -0.478 |
| 2 | -0.526 |
| 3 | -0.472 |
| 4 | -0.465 |
| 5 | -0.292 |
| 6 | -0.291 |